No. 1
Crystalline K4Pr3ScS8 at its relaxed geometry. Source: Alexandria, functional PBE.

Computed properties:
- Mass density: 3.3 g cm⁻³
- ΔE_f (raw): -1.797 eV/atom
- Size of the total moment: 0.00 μB per cell

a b c (Å): 8.2753 8.8018 8.2755
angles (deg): 118.05 120.00 90.00
With the nearest neighbours (Å) after each atom.
Sites, in units of the cell vectors:
S1 0.7758 0.2983 0.5516  1 Sc 2.70, 2 Pr 2.88
S2 0.7534 0.7016 0.9776  1 Sc 2.70, 2 Pr 2.88
S3 0.7374 0.7121 0.4748  3 Pr 2.86, 3 K 3.20
S4 0.2466 0.2984 0.0224  1 Sc 2.70, 2 Pr 2.88
Pr1 0.0000 0.5000 0.5000  6 S 2.86-2.88
S5 0.7759 0.2984 0.0224  1 Sc 2.70, 2 Pr 2.88
K1 0.5000 0.0000 0.0000  6 S 3.35-3.36
S6 0.2241 0.7016 0.9776  1 Sc 2.70, 2 Pr 2.88
Sc1 0.0000 0.5000 0.0000  6 S 2.70
K2 0.0000 0.0000 0.5000  6 S 3.20
Pr2 0.5000 0.5000 0.0000  6 S 2.86-2.88
Pr3 0.5000 0.5000 0.5000  6 S 2.86-2.88
S7 0.2242 0.7017 0.4484  1 Sc 2.70, 2 Pr 2.88
K3 0.5000 0.0000 0.5000  6 S 3.20
S8 0.2626 0.2879 0.5252  3 Pr 2.86, 3 K 3.20
K4 0.0000 0.0000 0.0000  6 S 3.20

No. 2
Crystalline K3PrSm2S6 at its relaxed geometry. Source: Alexandria, functional PBE.

Computed properties:
- Mass density: 3.7 g cm⁻³
- ΔE_f (raw): -1.857 eV/atom
- Size of the total moment: 0.00 μB per cell

a b c (Å): 7.2263 7.2263 7.7781
angles (deg): 98.91 98.91 120.00
With the nearest neighbours (Å) after each atom.
Sites, in units of the cell vectors:
S1 0.0689 0.4070 0.2065  2 Sm 2.84, 1 Pr 2.88
S2 0.5930 0.9311 0.7935  2 Sm 2.84, 1 Pr 2.88
Pr1 0.0000 0.0000 0.0000  6 S 2.88
Sm1 0.6667 0.3333 0.0000  6 S 2.84
S3 0.4070 0.0689 0.2065  2 Sm 2.84, 1 Pr 2.88
S4 0.2693 0.2693 0.7934  2 Sm 2.84, 1 Pr 2.88
K1 0.8337 0.1663 0.5000  6 S 3.22-3.26
Sm2 0.3333 0.6667 0.0000  6 S 2.84
K2 0.1663 0.8337 0.5000  6 S 3.22-3.26
K3 0.5000 0.5000 0.5000  6 S 3.22-3.26
S5 0.7307 0.7307 0.2066  2 Sm 2.84, 1 Pr 2.88
S6 0.9311 0.5930 0.7935  2 Sm 2.84, 1 Pr 2.88

No. 3
Crystalline K2Pr2SnS6 at its relaxed geometry. Source: Alexandria, functional PBE.

Computed properties:
- Mass density: 3.4 g cm⁻³
- ΔE_f (raw): -1.395 eV/atom
- Size of the total moment: 0.00 μB per cell

a b c (Å): 7.0531 7.0531 7.9342
angles (deg): 98.58 98.58 119.36
With the nearest neighbours (Å) after each atom.
Sites, in units of the cell vectors:
S1 0.0652 0.3767 0.6987  1 Sn 2.66, 2 Pr 2.85-2.88
Pr1 0.6674 0.3326 0.5000  6 S 2.85-2.90
K1 0.1689 0.8311 0.0000  6 S 3.23-3.38
S2 0.3767 0.0652 0.6987  1 Sn 2.66, 2 Pr 2.85-2.88
Sn1 0.0000 0.0000 0.5000  6 S 2.58-2.66
S3 0.2338 0.2338 0.3052  1 Sn 2.58
S4 0.9348 0.6233 0.3013  1 Sn 2.66, 2 Pr 2.85-2.88
K2 0.8311 0.1689 0.0000  6 S 3.23-3.38
S5 0.6233 0.9348 0.3013  1 Sn 2.66, 2 Pr 2.85-2.88
Pr2 0.3326 0.6674 0.5000  6 S 2.85-2.90
S6 0.7662 0.7662 0.6948  1 Sn 2.58

No. 4
Crystalline K3Pr3SnS8 at its relaxed geometry. Source: Alexandria, functional PBE.

Computed properties:
- Mass density: 3.4 g cm⁻³
- ΔE_f (raw): -1.519 eV/atom
- Size of the total moment: 0.00 μB per cell

a b c (Å): 8.2691 8.2704 8.9248
angles (deg): 117.62 90.00 119.99
With the nearest neighbours (Å) after each atom.
Sites, in units of the cell vectors:
K1 0.0000 0.5000 0.0000  6 S 3.24-3.25
K2 0.5000 0.5000 0.0000  6 S 3.24-3.25
S1 0.7592 0.9780 0.6968  1 Sn 2.65, 2 Pr 2.90
K3 0.0000 0.0000 0.0000  6 S 3.24-3.25
S2 0.2188 0.9780 0.6968  1 Sn 2.65, 2 Pr 2.90
Pr1 0.5000 0.0000 0.5000  6 S 2.85-2.90
S3 0.2643 0.5286 0.2929  3 Pr 2.85
S4 0.7812 0.5624 0.3032  1 Sn 2.65, 2 Pr 2.90
Sn1 0.0000 0.0000 0.5000  6 S 2.65
S5 0.7812 0.0220 0.3032  1 Sn 2.65, 2 Pr 2.90
S6 0.2408 0.0220 0.3032  1 Sn 2.65, 2 Pr 2.90
S7 0.7357 0.4714 0.7071  3 Pr 2.85
Pr2 0.0000 0.5000 0.5000  6 S 2.85-2.90
Pr3 0.5000 0.5000 0.5000  6 S 2.85-2.90
S8 0.2188 0.4376 0.6968  1 Sn 2.65, 2 Pr 2.90

No. 5
Crystalline KPrSnS3 at its relaxed geometry. Source: Alexandria, functional PBE.

Computed properties:
- Mass density: 3.4 g cm⁻³
- ΔE_f (raw): -1.339 eV/atom
- Size of the total moment: 0.00 μB per cell

a b c (Å): 4.1392 8.1181 12.0174
angles (deg): 106.25 90.00 90.00
With the nearest neighbours (Å) after each atom.
Sites, in units of the cell vectors:
Sn1 0.7500 0.8314 0.4281  3 S 2.59-2.64
S1 0.2500 0.0989 0.7693  1 Sn 2.59
S2 0.2500 0.6064 0.9026  3 Pr 2.83-2.85
S3 0.2500 0.6206 0.3801  2 Sn 2.64, 1 Pr 2.90
Sn2 0.2500 0.1686 0.5719  3 S 2.59-2.64
S4 0.7500 0.9011 0.2307  1 Sn 2.59
S5 0.7500 0.3936 0.0974  3 Pr 2.83-2.85
S6 0.7500 0.3794 0.6199  2 Sn 2.64, 1 Pr 2.90
K1 0.2500 0.2135 0.2376  5 S 3.26-3.27
Pr1 0.7500 0.3543 0.8560  6 S 2.83-2.91
K2 0.7500 0.7865 0.7624  5 S 3.26-3.27
Pr2 0.2500 0.6457 0.1440  6 S 2.83-2.91

No. 6
Crystalline K3Pr2SnS6 at its relaxed geometry. Source: Alexandria, functional PBE.

Computed properties:
- Mass density: 3.5 g cm⁻³
- ΔE_f (raw): -1.450 eV/atom
- Size of the total moment: 0.00 μB per cell

a b c (Å): 7.2372 7.2372 7.7716
angles (deg): 98.93 98.93 120.00
With the nearest neighbours (Å) after each atom.
Sites, in units of the cell vectors:
S1 0.9312 0.6073 0.7936  1 Sn 2.80, 2 Pr 2.88
K1 0.8340 0.1660 0.5000  6 S 3.22-3.30
K2 0.1660 0.8340 0.5000  6 S 3.22-3.30
S2 0.0688 0.3927 0.2064  1 Sn 2.80, 2 Pr 2.88
S3 0.7448 0.7448 0.2057  1 Sn 2.79, 2 Pr 2.88
S4 0.6073 0.9312 0.7936  1 Sn 2.80, 2 Pr 2.88
S5 0.3927 0.0688 0.2064  1 Sn 2.80, 2 Pr 2.88
S6 0.2552 0.2552 0.7943  1 Sn 2.79, 2 Pr 2.88
Sn1 0.0000 0.0000 0.0000  6 S 2.79-2.80
Pr1 0.3333 0.6667 0.0000  6 S 2.88
Pr2 0.6667 0.3333 0.0000  6 S 2.88
K3 0.5000 0.5000 0.5000  6 S 3.22-3.30

No. 7
Crystalline K2PrSnS4 at its relaxed geometry. Source: Alexandria, functional PBE.

Computed properties:
- Mass density: 3.5 g cm⁻³
- ΔE_f (raw): -1.267 eV/atom
- Size of the total moment: 0.00 μB per cell

a b c (Å): 4.1340 7.7654 7.2006
angles (deg): 72.20 90.00 90.00
With the nearest neighbours (Å) after each atom.
Sites, in units of the cell vectors:
S1 0.0000 0.7031 0.7733  2 Sn 2.80, 1 Pr 2.87
S2 0.5000 0.7066 0.2552  1 Sn 2.78, 2 Pr 2.87
K1 0.0000 0.0000 0.0000  6 S 3.21
Sn1 0.5000 0.5000 0.0000  6 S 2.78-2.80
K2 0.5000 0.0000 0.5000  6 S 3.27-3.28
Pr1 0.0000 0.5000 0.5000  6 S 2.87
S3 0.0000 0.2969 0.2267  2 Sn 2.80, 1 Pr 2.87
S4 0.5000 0.2934 0.7448  1 Sn 2.78, 2 Pr 2.87

No. 8
Crystalline K2Pr2TaS6 at its relaxed geometry. Source: Alexandria, functional PBE.

Computed properties:
- Mass density: 3.9 g cm⁻³
- ΔE_f (raw): -1.519 eV/atom
- Size of the total moment: 0.97 μB per cell

a b c (Å): 6.8790 6.8790 7.9123
angles (deg): 98.81 98.81 119.00
With the nearest neighbours (Å) after each atom.
Sites, in units of the cell vectors:
S1 0.6338 0.9321 0.3026  1 Ta 2.54
S2 0.2249 0.2249 0.3038  1 Ta 2.52
S3 0.9321 0.6338 0.3026  1 Ta 2.54
Pr1 0.3338 0.6662 0.5000  6 S 2.85-2.87
S4 0.7751 0.7751 0.6962  1 Ta 2.52
S5 0.3662 0.0679 0.6974  1 Ta 2.54
S6 0.0679 0.3662 0.6974  1 Ta 2.54
Ta1 0.0000 0.0000 0.5000  6 S 2.52-2.54
K1 0.8278 0.1722 0.0000  6 S 3.18-3.36
K2 0.1722 0.8278 0.0000  6 S 3.18-3.36
Pr2 0.6662 0.3338 0.5000  6 S 2.85-2.87